An optimized crystal structure of Sm3Ge3Rh. Source: Alexandria via LeMat-Bulk, functional PBE.

abc: 5.843 5.843 14.246
angles: 108.56 108.56 43.78
Fractional positions:
Sm (0.030, 0.030, 0.380)
Sm (0.101, 0.101, 0.922)
Sm (0.245, 0.245, 0.233)
Sm (0.755, 0.755, 0.767)
Sm (0.899, 0.899, 0.078)
Sm (0.970, 0.970, 0.620)
Ge (0.362, 0.362, 0.460)
Ge (0.383, 0.383, 0.925)
Ge (0.462, 0.462, 0.767)
Ge (0.538, 0.538, 0.233)
Ge (0.617, 0.617, 0.075)
Ge (0.638, 0.638, 0.540)
Rh (0.251, 0.251, 0.605)
Rh (0.749, 0.749, 0.395)

**Mass density**: 8.1 g/cm³
**ΔH_f (0 K)**: -0.892 eV/atom
**Spin magnetization**: 0.00 μB/f.u.